Computed, not measured: ZnHgAsSe2 at its PBEsol-relaxed geometry at the SCAN level of DFT.

Lattice parameters (Å, degrees): 4.8245 4.8245 4.9055 90.00 90.00 90.00
With the nearest neighbours (Å) after each atom.
Space group P4/mmm (No. 123)
Inequivalent atoms, fractional coordinates:
Zn: 0.0000 0.0000 0.0000  4 Se 2.41, 2 As 2.45
Hg: 0.5000 0.5000 0.5000  4 As 3.41, 8 Se 3.44
As: 0.0000 0.0000 0.5000  2 Zn 2.45
Se: 0.0000 0.5000 0.0000  2 Zn 2.41

Values from the calculation:
Spin magnetization, μB/f.u.: 0.00
Density of states at the Fermi level, states/eV/atom: 1.18
Total DFT energy (no corrections), eV per cell: -139.095
ΔE_f (raw), eV per atom: 0.59

***

Computed, not measured: Si2HgAs at its PBEsol-relaxed geometry at the SCAN level of DFT.

Lattice parameters (Å, degrees): 3.2649 3.2649 6.9615 90.00 90.00 90.00
With the nearest neighbours (Å) after each atom.
Space group P4/mmm (No. 123)
Inequivalent atoms, fractional coordinates:
Si: 0.0000 0.0000 0.1988  4 As 2.69, 1 Si 2.77
Hg: 0.5000 0.5000 0.5000  8 Si 3.12, 4 Hg 3.26, 2 As 3.48
As: 0.5000 0.5000 0.0000  8 Si 2.69

Values from the calculation:
Spin magnetization, μB/f.u.: 0.00
Density of states at the Fermi level, states/eV/atom: 0.32
Relative energy among the computed polymorphs, eV/atom: 0.011
Total DFT energy (no corrections), eV per cell: -105.916
ΔE_f (raw), eV per atom: 0.62

***

Computed, not measured: Si2HgAs at its PBEsol-relaxed geometry at the SCAN level of DFT.

Lattice parameters (Å, degrees): 3.2931 4.4541 9.9770 90.00 90.00 90.00
With the nearest neighbours (Å) after each atom.
Space group Imm2 (No. 44)
Inequivalent atoms, fractional coordinates:
Si: 0.0000 0.0000 0.0000  2 As 2.61, 2 Si 2.62, 4 Hg 2.77
Si: 0.0000 0.5000 0.2952  2 Si 2.62, 4 As 2.92
Hg: 0.0000 0.0000 0.4917  6 Si 2.77-2.97, 2 As 3.07
As: 0.0000 0.5000 0.7030  6 Si 2.61-2.92

Values from the calculation:
Spin magnetization, μB/f.u.: 0.00
Density of states at the Fermi level, states/eV/atom: 0.41
Relative energy among the computed polymorphs, eV/atom: 0.000
Total DFT energy (no corrections), eV per cell: -211.916
ΔE_f (raw), eV per atom: 0.61

***

Computed, not measured: SnHg2As at its PBEsol-relaxed geometry at the SCAN level of DFT.

Lattice parameters (Å, degrees): 7.1458 7.1458 7.1458 90.00 90.00 90.00
With the nearest neighbours (Å) after each atom.
Space group Fm-3m (No. 225)
Inequivalent atoms, fractional coordinates:
Sn: 0.0000 0.0000 0.0000  8 Hg 3.09
Hg: 0.2500 0.2500 0.2500  4 As 3.09, 4 Sn 3.09
As: 0.0000 0.0000 0.5000  8 Hg 3.09

Values from the calculation:
Spin magnetization, μB/f.u.: 0.00
Density of states at the Fermi level, states/eV/atom: 0.33
Calculated formation energy, meV per atom: 332
Total DFT energy (no corrections), eV per cell: -764.467

***

Computed, not measured: SrHgAs at its PBEsol-relaxed geometry at the SCAN level of DFT.

Lattice parameters (Å, degrees): 7.1392 7.1392 7.1392 90.00 90.00 90.00
With the nearest neighbours (Å) after each atom.
Space group F-43m (No. 216)
Inequivalent atoms, fractional coordinates:
Sr: 0.0000 0.0000 0.0000  4 Hg 3.09, 4 As 3.09
Hg: 0.2500 0.2500 0.7500  4 Sr 3.09
As: 0.2500 0.2500 0.2500  4 Sr 3.09

Values from the calculation:
Spin magnetization, μB/f.u.: 0.00
Density of states at the Fermi level, states/eV/atom: 0.70
Relative energy among the computed polymorphs, eV/atom: 0.352
Calculated formation energy, meV per atom: -398
Total DFT energy (no corrections), eV per cell: -447.307

***

Computed, not measured: SrHgAs2 at its PBEsol-relaxed geometry at the SCAN level of DFT.

Lattice parameters (Å, degrees): 7.2349 7.2349 7.2349 90.00 90.00 90.00
With the nearest neighbours (Å) after each atom.
Space group F-43m (No. 216)
Inequivalent atoms, fractional coordinates:
Sr: 0.0000 0.0000 0.0000  4 Hg 3.13, 4 As 3.13
Hg: 0.2500 0.2500 0.2500  4 As 3.13, 4 Sr 3.13
As: 0.0000 0.0000 0.5000  4 Hg 3.13, 4 As 3.13
As: 0.2500 0.2500 0.7500  4 As 3.13, 4 Sr 3.13

Values from the calculation:
Spin magnetization, μB/f.u.: 0.00
Density of states at the Fermi level, states/eV/atom: 0.80
Calculated formation energy, meV per atom: -229
Total DFT energy (no corrections), eV per cell: -526.951

***

Computed, not measured: SrHgAs2 at its PBEsol-relaxed geometry at the SCAN level of DFT.

Lattice parameters (Å, degrees): 3.7365 3.7365 6.8852 90.00 90.00 90.00
With the nearest neighbours (Å) after each atom.
Space group P4mm (No. 99)
Inequivalent atoms, fractional coordinates:
Sr: 0.0000 0.0000 0.0000  1 As 3.03, 4 Hg 3.30
Hg: 0.5000 0.5000 0.7122  1 As 2.77
As: 0.0000 0.0000 0.4400  4 As 2.79, 1 Sr 3.03
As: 0.5000 0.5000 0.3097  1 Hg 2.77, 4 As 2.79

Values from the calculation:
Spin magnetization, μB/f.u.: 0.00
Density of states at the Fermi level, states/eV/atom: 0.28
Calculated formation energy, meV per atom: -390
Total DFT energy (no corrections), eV per cell: -132.382

***

Computed, not measured: SrHgAs at its PBEsol-relaxed geometry at the SCAN level of DFT.

Lattice parameters (Å, degrees): 4.5189 4.5189 4.5099 90.00 90.00 120.00
With the nearest neighbours (Å) after each atom.
Space group P3m1 (No. 156)
Inequivalent atoms, fractional coordinates:
Sr: 0.0000 0.0000 0.0000  3 As 3.19, 3 Hg 3.23
Hg: 0.6667 0.3333 0.4211  3 As 2.72
As: 0.3333 0.6667 0.5939  3 Hg 2.72

Values from the calculation:
Spin magnetization, μB/f.u.: 0.00
Density of states at the Fermi level, states/eV/atom: 0.45
Relative energy among the computed polymorphs, eV/atom: 0.000
Calculated formation energy, meV per atom: -751
Total DFT energy (no corrections), eV per cell: -112.883

***

Computed, not measured: Ta2HgAs at its PBEsol-relaxed geometry at the SCAN level of DFT.

Lattice parameters (Å, degrees): 5.8741 8.6436 2.9349 90.00 107.65 90.00
With the nearest neighbours (Å) after each atom.
Space group C2/m (No. 12)
Inequivalent atoms, fractional coordinates:
Ta: 0.2500 0.2500 0.0000  2 Hg 2.77, 2 As 2.77, 4 Ta 2.93-2.94
Hg: 0.0000 0.0000 0.5000  4 Ta 2.77, 2 Hg 2.93, 2 As 2.94
As: 0.0000 0.5000 0.5000  4 Ta 2.77, 2 As 2.93, 2 Hg 2.94

Values from the calculation:
Spin magnetization, μB/f.u.: 0.00
Density of states at the Fermi level, states/eV/atom: 0.53
Relative energy among the computed polymorphs, eV/atom: 0.118
Calculated formation energy, meV per atom: 236
Total DFT energy (no corrections), eV per cell: -441.156

***

Computed, not measured: Ta2HgAs at its PBEsol-relaxed geometry at the SCAN level of DFT.

Lattice parameters (Å, degrees): 9.9703 3.1778 4.6294 90.00 103.80 90.00
With the nearest neighbours (Å) after each atom.
Space group Cm (No. 8)
Inequivalent atoms, fractional coordinates:
Ta: 0.0000 0.0000 0.0000  3 Hg 2.74-2.85, 4 As 2.74-2.89, 2 Ta 2.99-3.01
Ta: 0.1968 0.0000 0.5983  3 As 2.64-2.95, 4 Hg 2.84-2.85
Hg: 0.2446 0.5000 0.1229  7 Ta 2.74-2.85, 2 As 3.04
As: 0.4796 0.0000 0.5094  7 Ta 2.64-2.95

Values from the calculation:
Spin magnetization, μB/f.u.: 0.00
Density of states at the Fermi level, states/eV/atom: 0.46
Relative energy among the computed polymorphs, eV/atom: 0.043
Calculated formation energy, meV per atom: 161
Total DFT energy (no corrections), eV per cell: -441.756

***

Computed, not measured: Ta2HgAs at its PBEsol-relaxed geometry at the SCAN level of DFT.

Lattice parameters (Å, degrees): 2.9415 4.0727 6.0042 90.00 103.02 90.00
With the nearest neighbours (Å) after each atom.
Space group P2/m (No. 10)
Inequivalent atoms, fractional coordinates:
Ta: 0.0959 0.0000 0.2670  2 As 2.60
Hg: 0.5000 0.5000 0.0000  8 Ta 2.92-3.00, 2 Hg 2.94, 2 As 3.00
As: 0.5000 0.5000 0.5000  4 Ta 2.60

Values from the calculation:
Spin magnetization, μB/f.u.: 0.00
Density of states at the Fermi level, states/eV/atom: 0.45
Relative energy among the computed polymorphs, eV/atom: 0.000
Calculated formation energy, meV per atom: 119
Total DFT energy (no corrections), eV per cell: -221.048

***

Computed, not measured: YTaHgAs2 at its PBEsol-relaxed geometry at the SCAN level of DFT.

Lattice parameters (Å, degrees): 5.0687 5.0687 5.1007 90.00 90.00 90.00
With the nearest neighbours (Å) after each atom.
Space group P4/mmm (No. 123)
Inequivalent atoms, fractional coordinates:
Y: 0.0000 0.0000 0.0000  4 Ta 3.58, 8 As 3.60
Ta: 0.5000 0.5000 0.0000  2 Hg 2.55
Hg: 0.5000 0.5000 0.5000  4 As 2.53, 2 Ta 2.55
As: 0.0000 0.5000 0.5000  2 Hg 2.53

Values from the calculation:
Spin magnetization, μB/f.u.: 0.05
Density of states at the Fermi level, states/eV/atom: 1.00
Calculated formation energy, meV per atom: 1003
Total DFT energy (no corrections), eV per cell: -197.958